No. 1
Below is an optimized crystal structure of ThSiNiC, with properties calculated at the PBE level.

Unit cell a=3.833 b=3.833 c=8.456 alpha=90.00 beta=90.00 gamma=90.00
Sites, in units of the cell vectors:
Th1 0.000 0.500 0.839
Th2 0.500 0.000 0.161
Si1 0.000 0.500 0.349
Si2 0.500 0.000 0.651
Ni1 0.000 0.000 0.500
Ni2 0.500 0.500 0.500
C1 0.500 0.000 0.870
C2 0.000 0.500 0.130

***

No. 2
Below is an optimized crystal structure of MgCN2, with properties calculated at the PBE level.

Unit cell a=4.409 b=4.428 c=6.459 alpha=90.00 beta=90.00 gamma=90.00
Sites, in units of the cell vectors:
Mg1 0.468 0.023 0.877
Mg2 0.532 0.523 0.123
Mg3 0.032 0.523 0.377
Mg4 0.968 0.023 0.623
C1 0.453 0.990 0.376
C2 0.547 0.490 0.624
C3 0.047 0.490 0.876
C4 0.953 0.990 0.124
N1 0.491 0.653 0.425
N2 0.509 0.153 0.575
N3 0.009 0.153 0.925
N4 0.991 0.653 0.075
N5 0.381 0.559 0.821
N6 0.619 0.059 0.179
N7 0.119 0.059 0.321
N8 0.881 0.559 0.679

***

No. 3
Below is an optimized crystal structure of CeMgScRu, with properties calculated at the PBE level.

Values from the calculation:
Its formation energy is -147 meV per atom.

Unit cell a=4.917 b=4.917 c=4.917 alpha=60.00 beta=60.00 gamma=60.00
Sites, in units of the cell vectors:
Sc1 0.250 0.250 0.250
Ru1 0.500 0.500 0.500
Mg1 0.000 0.000 0.000
Ce1 0.750 0.750 0.750

***

No. 4
Below is an optimized crystal structure of Rb6TaSb4, with properties calculated at the PBE level.

Unit cell a=9.102 b=11.433 c=11.433 alpha=120.00 beta=90.00 gamma=90.00
Sites, in units of the cell vectors:
Rb1 0.454 0.711 0.856
Rb2 0.454 0.144 0.289
Rb3 0.454 0.144 0.856
Rb4 0.954 0.289 0.144
Rb5 0.954 0.856 0.711
Rb6 0.954 0.856 0.144
Rb7 0.637 0.939 0.470
Rb8 0.637 0.530 0.061
Rb9 0.637 0.530 0.470
Rb10 0.137 0.061 0.530
Rb11 0.137 0.470 0.939
Rb12 0.137 0.470 0.530
Ta1 0.747 0.333 0.667
Ta2 0.247 0.667 0.333
Sb1 0.451 0.333 0.667
Sb2 0.951 0.667 0.333
Sb3 0.840 0.594 0.797
Sb4 0.840 0.203 0.406
Sb5 0.840 0.203 0.797
Sb6 0.340 0.406 0.203
Sb7 0.340 0.797 0.594
Sb8 0.340 0.797 0.203

***

No. 5
Below is an optimized crystal structure of UV6P8, with properties calculated at the PBE level.

Values from the calculation:
Its formation energy is -449 meV per atom.

Unit cell a=6.220 b=6.220 c=6.220 alpha=82.66 beta=82.66 gamma=82.66
Sites, in units of the cell vectors:
U1 0.000 0.000 0.000
V1 0.586 0.417 0.803
V2 0.417 0.803 0.586
V3 0.803 0.586 0.417
V4 0.414 0.583 0.197
V5 0.583 0.197 0.414
V6 0.197 0.414 0.583
P1 0.750 0.750 0.750
P2 0.250 0.250 0.250
P3 0.593 0.893 0.224
P4 0.893 0.224 0.593
P5 0.224 0.593 0.893
P6 0.407 0.107 0.776
P7 0.107 0.776 0.407
P8 0.776 0.407 0.107

***

No. 6
Below is an optimized crystal structure of VMo2Os, with properties calculated at the PBE level.

Values from the calculation:
The energy above the most stable polymorph in this dataset is 715 meV/atom. Its formation energy is 677 meV per atom.

Unit cell a=7.101 b=7.101 c=5.642 alpha=51.00 beta=51.00 gamma=90.00
Sites, in units of the cell vectors:
Mo1 0.633 0.125 0.250
Mo2 0.117 0.625 0.250
Mo3 0.375 0.367 0.750
Mo4 0.875 0.883 0.750
Os1 0.000 0.000 0.000
Os2 0.750 0.250 0.500
V1 0.500 0.500 0.000
V2 0.250 0.750 0.500

***

No. 7
Below is an optimized crystal structure of K2SrMoW, with properties calculated at the PBE level.

Values from the calculation:
Its formation energy is 2853 meV per atom.

Unit cell a=5.584 b=5.710 c=5.584 alpha=90.00 beta=90.00 gamma=90.00
Sites, in units of the cell vectors:
Sr1 0.000 0.500 0.000
Mo1 0.000 0.000 0.000
K1 0.000 0.000 0.500
K2 0.500 0.000 0.000
W1 0.500 0.500 0.500

***

No. 8
Below is an optimized crystal structure of CaYMg, with properties calculated at the PBE level.

Values from the calculation:
The energy above the most stable polymorph in this dataset is 404 meV/atom. Its formation energy is 355 meV per atom.

Unit cell a=5.385 b=5.385 c=5.385 alpha=60.00 beta=60.00 gamma=60.00
Sites, in units of the cell vectors:
Ca1 0.500 0.500 0.500
Mg1 0.750 0.750 0.750
Y1 0.000 0.000 0.000

***

| no. | VASP energy (eV/atom) | N(E_F) (states/eV/atom) |
| --- | --- | --- |
| 1 | -7.59 | 0.69 |
| 2 | -6.92 | 0.00 |
| 3 | -5.93 | 1.02 |
| 4 | -3.44 | 1.16 |
| 5 | -7.73 | 1.07 |
| 6 | -9.83 | 1.09 |
| 7 | -2.68 | 4.46 |
| 8 | -3.00 | 1.62 |